# Fe4SiMo (PBE-GGA, relaxed)
# DFT total energy, eV per formula unit: -49.9
# ΔE_f (raw), eV/atom: 0.039
data_Fe4SiMo
_cell_length_a 4.6683
_cell_length_b 4.6683
_cell_length_c 4.6683
_cell_angle_alpha 60.00
_cell_angle_beta 60.00
_cell_angle_gamma 60.00
_symmetry_space_group_name_H-M 'P 1'
_symmetry_Int_Tables_number 1
_symmetry_space_group_name_Hall 'P 1'
loop_
_atom_site_label
_atom_site_type_symbol
_atom_site_fract_x
_atom_site_fract_y
_atom_site_fract_z
Fe1 Fe 0.1254 0.1254 0.1254
Fe2 Fe 0.1254 0.1254 0.6237
Fe3 Fe 0.1254 0.6237 0.1254
Fe4 Fe 0.6237 0.1254 0.1254
Si1 Si 0.5000 0.5000 0.5000
Mo1 Mo 0.7500 0.7500 0.7500